# 1
80
Lattice="-5.405 5.405 5.405 5.405 -5.405 5.405 5.405 5.405 -5.405" Properties=species:S:1:pos:R:3 comment="Cu3Mo5H12 PBE optimized geometry" e_tot_ev_per_atom=-5.060 n_ef_per_ev_cell=46.86 pbc="T T T"
Cu 2.703 1.351 0.000
Cu 5.405 2.703 -1.351
Cu 1.351 0.000 2.703
Cu 6.757 0.000 2.703
Cu 0.000 2.703 1.351
Cu 2.703 -1.351 5.405
Cu 2.703 6.757 0.000
Cu 5.405 2.703 4.054
Cu -1.351 5.405 2.703
Cu 4.054 5.405 2.703
Cu 0.000 2.703 6.757
Cu 2.703 4.054 5.405
Mo 0.000 0.000 0.000
Mo 2.703 2.703 -2.703
Mo 2.703 -2.703 2.703
Mo 5.405 0.000 0.000
Mo 8.108 1.351 0.000
Mo 5.405 -2.703 4.054
Mo 4.054 5.405 -2.703
Mo 4.054 0.000 2.703
Mo 2.703 4.054 0.000
Mo 5.405 2.703 1.351
Mo -2.703 2.703 2.703
Mo 0.000 5.405 0.000
Mo 0.000 0.000 5.405
Mo 2.703 2.703 2.703
Mo 0.000 2.703 4.054
Mo 2.703 1.351 5.405
Mo 1.351 5.405 2.703
Mo 1.351 0.000 8.108
Mo 0.000 8.108 1.351
Mo -2.703 4.054 5.405
H 1.700 -0.021 0.716
H 6.408 3.418 -2.724
H 7.106 0.021 0.716
H 6.408 -1.987 2.724
H 5.384 -0.716 1.700
H 8.129 -1.002 1.987
H 0.716 1.700 -0.021
H 7.392 2.681 -1.002
H 3.418 2.724 -1.002
H 4.690 1.700 0.021
H -0.021 0.716 1.700
H 2.724 -1.002 3.418
H 5.384 4.690 -1.700
H 2.724 1.002 1.987
H 3.418 -2.724 6.408
H 4.690 -1.700 5.384
H 1.987 2.724 1.002
H 6.121 3.705 0.021
H 2.724 6.408 -1.987
H 5.384 0.716 3.705
H 1.700 5.384 -0.716
H 6.408 1.987 2.681
H 1.002 1.987 2.724
H 1.700 0.021 4.690
H 3.705 5.384 0.716
H 4.403 3.418 2.681
H -1.002 3.418 2.724
H 3.705 0.021 6.121
H 0.021 4.690 1.700
H 2.681 -1.002 7.392
H -0.716 1.700 5.384
H 3.418 2.681 4.403
H 0.716 7.106 0.021
H 1.987 8.129 -1.002
H 2.681 4.403 3.418
H 0.021 0.716 7.106
H 2.681 6.408 1.987
H 5.427 4.690 3.705
H 0.716 3.705 5.384
H 1.987 2.681 6.408
H -1.987 2.724 6.408
H 4.690 3.705 5.427
H -2.724 6.408 3.418
H 0.021 6.121 3.705
H -1.002 7.392 2.681
H -1.700 5.384 4.690
H -1.002 1.987 8.129
H 3.705 5.427 4.690

---

# 2
5
Lattice="4.775 0.000 0.000 0.000 4.775 0.000 0.000 0.000 4.775" Properties=species:S:1:pos:R:3 comment="Cu3MoH PBE optimized geometry" e_tot_ev_per_atom=-3.278 n_ef_per_ev_cell=3.54 pbc="T T T"
Cu 0.000 0.000 2.387
Cu 0.000 2.387 0.000
Cu 2.387 0.000 0.000
Mo 0.000 0.000 0.000
H 2.387 2.387 2.387

---

# 3
5
Lattice="4.200 0.000 0.000 0.000 4.200 0.000 0.000 0.000 3.821" Properties=species:S:1:pos:R:3 comment="Nb2CuMoH PBE optimized geometry" e_tot_ev_per_atom=-7.642 n_ef_per_ev_cell=3.80 pbc="T T T"
Nb 0.000 2.100 0.000
Nb 2.100 0.000 0.000
Cu 0.000 0.000 1.910
Mo 2.100 2.100 1.910
H 2.100 2.100 0.000

---

# 4
5
Lattice="4.368 0.000 0.000 0.000 4.368 0.000 0.000 0.000 3.500" Properties=species:S:1:pos:R:3 comment="Nb2CuMoH PBE optimized geometry" e_tot_ev_per_atom=-7.678 n_ef_per_ev_cell=3.46 pbc="T T T"
Nb 0.000 2.184 0.000
Nb 2.184 0.000 0.000
Cu 0.000 0.000 1.750
Mo 2.184 2.184 1.750
H 0.000 0.000 0.000

---

# 5
5
Lattice="3.646 0.000 0.000 0.000 3.646 0.000 0.000 0.000 4.969" Properties=species:S:1:pos:R:3 comment="NbCuMoH2 PBE optimized geometry" e_tot_ev_per_atom=-5.519 n_ef_per_ev_cell=3.02 pbc="T T T"
Nb 0.000 0.000 0.000
Cu 1.823 1.823 0.000
Mo 0.000 0.000 2.485
H 0.000 1.823 2.485
H 1.823 0.000 2.485

---

# 6
5
Lattice="3.997 0.000 0.000 0.000 3.997 0.000 0.000 0.000 4.019" Properties=species:S:1:pos:R:3 comment="NbCuMo2H PBE optimized geometry" e_tot_ev_per_atom=-7.720 n_ef_per_ev_cell=2.87 pbc="T T T"
Nb 0.000 0.000 0.000
Cu 1.998 1.998 0.000
Mo 0.000 1.998 2.010
Mo 1.998 0.000 2.010
H 1.998 1.998 2.010

---

# 7
5
Lattice="3.961 0.000 0.000 0.000 3.961 0.000 0.000 0.000 4.119" Properties=species:S:1:pos:R:3 comment="NbCuMo2H PBE optimized geometry" e_tot_ev_per_atom=-7.748 n_ef_per_ev_cell=1.79 pbc="T T T"
Nb 0.000 0.000 0.000
Cu 1.981 1.981 0.000
Mo 0.000 1.981 2.059
Mo 1.981 0.000 2.059
H 0.000 0.000 2.059